Material: AgSnNO2
Method: DFT, PBE
State: relaxed

Lattice parameters (Å, degrees): 4.084 4.084 4.262 90.00 90.00 90.00
Element x y z (fractional)
Ag: 0.000 0.000 0.000
Sn: 0.500 0.500 0.500
N: 0.500 0.500 0.000
O: 0.000 0.500 0.500
O: 0.500 0.000 0.500

Values from the calculation:
- N(E_F) (states/eV/cell) = 0.788
- E_tot (eV per atom) = -4.882
- energy relative to the elements, uncorrected (meV/atom) = 137.4